## C2Se (meta-GGA SCAN)

Data for C2Se at its PBEsol-relaxed geometry.

Cell: 5.000 5.000 5.000 Å, 151.05 151.05 41.41°
Sites, in units of the cell vectors:
C 0.236 0.236 0.000
C 0.764 0.764 0.000
Se 0.000 0.000 0.000

Summary:
E_form (uncorrected) ... 211.77 kJ/mol of atoms
V ... 29.23 Å³/cell